B2SbAs2 | PBE | optimized geometry

```
data_B2SbAs2
_chemical_formula_sum 'B2 Sb1 As2'
_cell_length_a 8.8884
_cell_length_b 8.8884
_cell_length_c 8.8884
_cell_angle_alpha 159.44
_cell_angle_beta 159.44
_cell_angle_gamma 29.24
_space_group_name_H-M_alt 'P 1'
_space_group_IT_number 1
_space_group_name_Hall 'P 1'
loop_
_atom_site_label
_atom_site_type_symbol
_atom_site_fract_x
_atom_site_fract_y
_atom_site_fract_z
B1 B 0.2500 0.7500 0.5000
B2 B 0.7500 0.2500 0.5000
Sb1 Sb 0.0000 0.0000 0.0000
As1 As 0.3375 0.3375 0.0000
As2 As 0.6625 0.6625 0.0000
```

Relative energy among the computed polymorphs ... 0.0000 eV/atom
Crystal system ... tetragonal


EuPaZn4 | PBE | optimized geometry

```
data_EuPaZn4
_chemical_formula_sum 'Eu1 Pa1 Zn4'
_cell_length_a 5.4838
_cell_length_b 5.4838
_cell_length_c 5.4838
_cell_angle_alpha 60.00
_cell_angle_beta 60.00
_cell_angle_gamma 60.00
_space_group_name_H-M_alt 'P 1'
_space_group_IT_number 1
_space_group_name_Hall 'P 1'
loop_
_atom_site_label
_atom_site_type_symbol
_atom_site_fract_x
_atom_site_fract_y
_atom_site_fract_z
Eu1 Eu 0.0000 0.0000 0.0000
Pa1 Pa 0.2500 0.2500 0.2500
Zn1 Zn 0.1253 0.6249 0.6249
Zn2 Zn 0.6249 0.1253 0.6249
Zn3 Zn 0.6249 0.6249 0.1253
Zn4 Zn 0.6249 0.6249 0.6249
```

Calculated formation energy ... -0.104 eV/atom
Crystal system ... cubic


PrHoN2 | PBE | optimized geometry

```
data_PrHoN2
_chemical_formula_sum 'Pr2 Ho2 N4'
_cell_length_a 3.4737
_cell_length_b 6.0403
_cell_length_c 6.0450
_cell_angle_alpha 90.00
_cell_angle_beta 90.00
_cell_angle_gamma 90.00
_space_group_name_H-M_alt 'P 1'
_space_group_IT_number 1
_space_group_name_Hall 'P 1'
loop_
_atom_site_label
_atom_site_type_symbol
_atom_site_fract_x
_atom_site_fract_y
_atom_site_fract_z
Pr1 Pr 0.2500 0.2500 0.0889
Pr2 Pr 0.7500 0.7500 0.9111
Ho1 Ho 0.2500 0.7500 0.4206
Ho2 Ho 0.7500 0.2500 0.5794
N1 N 0.2500 0.0062 0.7357
N2 N 0.2500 0.4938 0.7357
N3 N 0.7500 0.5062 0.2643
N4 N 0.7500 0.9938 0.2643
```

Crystal system ... orthorhombic


TbPmTm2Sb4 | PBE | optimized geometry

```
data_TbPmTm2Sb4
_chemical_formula_sum 'Tb1 Pm1 Tm2 Sb4'
_cell_length_a 7.6044
_cell_length_b 4.3973
_cell_length_c 7.6105
_cell_angle_alpha 90.00
_cell_angle_beta 109.49
_cell_angle_gamma 90.00
_space_group_name_H-M_alt 'P 1'
_space_group_IT_number 1
_space_group_name_Hall 'P 1'
loop_
_atom_site_label
_atom_site_type_symbol
_atom_site_fract_x
_atom_site_fract_y
_atom_site_fract_z
Tb1 Tb 0.0000 0.0000 0.0000
Pm1 Pm 0.0000 0.5000 0.5000
Tm1 Tm 0.5000 0.0000 0.5000
Tm2 Tm 0.5000 0.5000 0.0000
Sb1 Sb 0.2565 0.5000 0.2496
Sb2 Sb 0.2585 0.0000 0.7555
Sb3 Sb 0.7415 0.0000 0.2445
Sb4 Sb 0.7435 0.5000 0.7504
```

Crystal system ... monoclinic


NpAu2Br6 | PBE | optimized geometry

```
data_NpAu2Br6
_chemical_formula_sum 'Np2 Au4 Br12'
_cell_length_a 10.2445
_cell_length_b 10.2445
_cell_length_c 7.0917
_cell_angle_alpha 94.79
_cell_angle_beta 94.79
_cell_angle_gamma 92.06
_space_group_name_H-M_alt 'P 1'
_space_group_IT_number 1
_space_group_name_Hall 'P 1'
loop_
_atom_site_label
_atom_site_type_symbol
_atom_site_fract_x
_atom_site_fract_y
_atom_site_fract_z
Np1 Np 0.0802 0.9198 0.7500
Np2 Np 0.9198 0.0802 0.2500
Au1 Au 0.3907 0.3925 0.7089
Au2 Au 0.3925 0.3907 0.2089
Au3 Au 0.6075 0.6093 0.7911
Au4 Au 0.6093 0.6075 0.2911
Br1 Br 0.0483 0.1715 0.6068
Br2 Br 0.0839 0.6795 0.8611
Br3 Br 0.1715 0.0483 0.1068
Br4 Br 0.2684 0.4977 0.4549
Br5 Br 0.3205 0.9161 0.6389
Br6 Br 0.4977 0.2684 0.9549
Br7 Br 0.5023 0.7316 0.0451
Br8 Br 0.6795 0.0839 0.3611
Br9 Br 0.7316 0.5023 0.5451
Br10 Br 0.8285 0.9517 0.8932
Br11 Br 0.9161 0.3205 0.1389
Br12 Br 0.9517 0.8285 0.3932
```

Crystal system ... monoclinic


NaTaO3 | PBE | optimized geometry

```
data_NaTaO3
_chemical_formula_sum 'Na4 Ta4 O12'
_cell_length_a 6.8845
_cell_length_b 5.4661
_cell_length_c 7.7962
_cell_angle_alpha 90.00
_cell_angle_beta 124.46
_cell_angle_gamma 90.00
_space_group_name_H-M_alt 'P 1'
_space_group_IT_number 1
_space_group_name_Hall 'P 1'
loop_
_atom_site_label
_atom_site_type_symbol
_atom_site_fract_x
_atom_site_fract_y
_atom_site_fract_z
Na1 Na 0.1914 0.2495 0.0957
Na2 Na 0.1914 0.2505 0.5957
Na3 Na 0.8086 0.7495 0.4043
Na4 Na 0.8086 0.7505 0.9043
Ta1 Ta 0.2572 0.6741 0.8785
Ta2 Ta 0.2572 0.8259 0.3785
Ta3 Ta 0.7428 0.1741 0.6215
Ta4 Ta 0.7428 0.3259 0.1215
O1 O 0.0255 0.5300 0.2609
O2 O 0.0255 0.9700 0.7609
O3 O 0.2596 0.7471 0.6294
O4 O 0.2596 0.7529 0.1294
O5 O 0.3970 0.1872 0.4487
O6 O 0.3970 0.3128 0.9487
O7 O 0.6030 0.6872 0.0513
O8 O 0.6030 0.8128 0.5513
O9 O 0.7404 0.2471 0.8706
O10 O 0.7404 0.2529 0.3706
O11 O 0.9745 0.0300 0.2391
O12 O 0.9745 0.4700 0.7391
```

Crystal system ... monoclinic


PmBi2Rh | PBE | optimized geometry

```
data_PmBi2Rh
_chemical_formula_sum 'Pm1 Bi2 Rh1'
_cell_length_a 3.5116
_cell_length_b 3.5116
_cell_length_c 8.1007
_cell_angle_alpha 90.00
_cell_angle_beta 90.00
_cell_angle_gamma 90.00
_space_group_name_H-M_alt 'P 1'
_space_group_IT_number 1
_space_group_name_Hall 'P 1'
loop_
_atom_site_label
_atom_site_type_symbol
_atom_site_fract_x
_atom_site_fract_y
_atom_site_fract_z
Pm1 Pm 0.0000 0.0000 0.0000
Bi1 Bi 0.5000 0.5000 0.2952
Bi2 Bi 0.5000 0.5000 0.7048
Rh1 Rh 0.0000 0.0000 0.5000
```

Calculated formation energy ... -0.240 eV/atom
Relative energy among the computed polymorphs ... 0.3259 eV/atom
Crystal system ... tetragonal


Mn4TcIr | PBE | optimized geometry

```
data_Mn4TcIr
_chemical_formula_sum 'Mn4 Tc1 Ir1'
_cell_length_a 4.6724
_cell_length_b 4.6724
_cell_length_c 4.6724
_cell_angle_alpha 60.00
_cell_angle_beta 60.00
_cell_angle_gamma 60.00
_space_group_name_H-M_alt 'P 1'
_space_group_IT_number 1
_space_group_name_Hall 'P 1'
loop_
_atom_site_label
_atom_site_type_symbol
_atom_site_fract_x
_atom_site_fract_y
_atom_site_fract_z
Mn1 Mn 0.1238 0.1238 0.1238
Mn2 Mn 0.1238 0.1238 0.6285
Mn3 Mn 0.1238 0.6285 0.1238
Mn4 Mn 0.6285 0.1238 0.1238
Tc1 Tc 0.5000 0.5000 0.5000
Ir1 Ir 0.7500 0.7500 0.7500
```

Calculated formation energy ... -0.045 eV/atom
Crystal system ... cubic


Calculated E in order - -4.731 -4.248 -7.850 -5.466 -3.990 -8.091 -5.206 -9.363 eV per atom
Calculated magnetic moment in order - 0.00 7.38 0.00 0.00 2.96 0.00 0.00 2.05 μB/f.u.